No. 1
# PBE K4Er3HfO8, optimized geometry
# E_tot: -6.919 eV/atom
# Formation energy without anion corrections: -4150 kJ/mol of formula units
# Density of states at the Fermi level: 0.21 states/eV per atom
data_K4Er3HfO8
_cell_length_a 6.8028
_cell_length_b 6.8028
_cell_length_c 18.7357
_cell_angle_alpha 90.00
_cell_angle_beta 90.00
_cell_angle_gamma 120.00
_space_group_name_H-M_alt 'R -3 m'
_space_group_IT_number 166
_space_group_name_Hall '-R 3 2"'
loop_
_atom_site_label
_atom_site_fract_x
_atom_site_fract_y
_atom_site_fract_z
_atom_site_occupancy
K1 0.0000 0.0000 0.0000 1
K2 0.0000 0.5000 0.0000 1
Er1 0.0000 0.5000 0.5000 1
Hf1 0.0000 0.0000 0.5000 1
O1 0.0000 0.0000 0.2277 1
O2 0.0191 0.5095 0.2267 1


No. 2
# PBE K3Er2HfS6, optimized geometry
# E_tot: -5.654 eV/atom
# Formation energy without anion corrections: -1998 kJ/mol of formula units
# Density of states at the Fermi level: 0.32 states/eV per atom
data_K3Er2HfS6
_cell_length_a 6.777
_cell_length_b 11.738
_cell_length_c 7.716
_cell_angle_alpha 90.00
_cell_angle_beta 107.06
_cell_angle_gamma 90.00
_space_group_name_H-M_alt 'C 1 2/m 1'
_space_group_IT_number 12
loop_
_space_group_symop_operation_xyz
'x,y,z'
'-x,-y,-z'
'-x,y,-z'
'x,-y,z'
'x+1/2,y+1/2,z'
'-x+1/2,-y+1/2,-z'
'-x+1/2,y+1/2,-z'
'x+1/2,-y+1/2,z'
loop_
_atom_site_label
_atom_site_fract_x
_atom_site_fract_y
_atom_site_fract_z
_atom_site_occupancy
K1 0.000 0.000 0.000 1
K2 0.000 0.330 0.000 1
Er1 0.000 0.166 0.500 1
Hf1 0.000 0.500 0.500 1
S1 0.226 0.341 0.699 1
S2 0.248 0.000 0.700 1


No. 3
# PBE K3Er3HfS8, optimized geometry
# E_tot: -5.839 eV/atom
# Formation energy without anion corrections: -2666 kJ/mol of formula units
# Density of states at the Fermi level: 0.00 states/eV per atom
data_K3Er3HfS8
_cell_length_a 7.8555
_cell_length_b 7.8555
_cell_length_c 22.5050
_cell_angle_alpha 90.00
_cell_angle_beta 90.00
_cell_angle_gamma 120.00
_space_group_name_H-M_alt 'R -3 m'
_space_group_IT_number 166
_space_group_name_Hall '-R 3 2"'
loop_
_atom_site_label
_atom_site_fract_x
_atom_site_fract_y
_atom_site_fract_z
_atom_site_occupancy
K1 0.0000 0.5000 0.0000 1
Er1 0.0000 0.5000 0.5000 1
Hf1 0.0000 0.0000 0.5000 1
S1 0.0000 0.0000 0.2331 1
S2 0.0166 0.5083 0.2305 1


No. 4
# PBE K4Er3HfTe8, optimized geometry
# E_tot: -4.563 eV/atom
# Formation energy without anion corrections: -1915 kJ/mol of formula units
# Density of states at the Fermi level: 0.28 states/eV per atom
data_K4Er3HfTe8
_cell_length_a 8.7746
_cell_length_b 8.7746
_cell_length_c 24.7821
_cell_angle_alpha 90.00
_cell_angle_beta 90.00
_cell_angle_gamma 120.00
_space_group_name_H-M_alt 'R -3 m'
_space_group_IT_number 166
_space_group_name_Hall '-R 3 2"'
loop_
_atom_site_label
_atom_site_fract_x
_atom_site_fract_y
_atom_site_fract_z
_atom_site_occupancy
K1 0.0000 0.0000 0.0000 1
K2 0.0000 0.5000 0.0000 1
Er1 0.0000 0.5000 0.5000 1
Hf1 0.0000 0.0000 0.5000 1
Te1 0.0000 0.0000 0.2366 1
Te2 0.0122 0.5061 0.2347 1